[1]
DFT (PBE) results for a geometry-optimized CrCd2Mo structure.

Unit cell a=10.004 b=2.873 c=5.031 alpha=90.00 beta=99.51 gamma=90.00
Fractional positions:
Cr1 0.000 0.000 0.000
Cr2 0.500 0.500 0.000
Cd1 0.249 0.500 0.249
Cd2 0.251 0.000 0.751
Cd3 0.749 0.000 0.249
Cd4 0.751 0.500 0.751
Mo1 0.000 0.500 0.500
Mo2 0.500 0.000 0.500

Computed properties:
Its density of states at the Fermi level is 7.201 states/eV/cell. The relative energy among the computed polymorphs comes out at 260 meV per atom. The value obtained for the magnetic moment is 5.05 Bohr magnetons per cell. For the total energy, the calculation gives -40.09 eV for the cell shown. As for the crystal system: monoclinic. The formation energy comes out at 0.5594 eV/atom.

---

[2]
DFT (PBE) results for a geometry-optimized Cr3CdMo structure.

Unit cell a=4.691 b=4.691 c=4.691 alpha=90.00 beta=90.00 gamma=90.00
Fractional positions:
Cr1 0.000 0.000 0.500
Cr2 0.000 0.500 0.000
Cr3 0.500 0.000 0.000
Cd1 0.500 0.500 0.500
Mo1 0.000 0.000 0.000

Computed properties:
Its density of states at the Fermi level is 3.190 states/eV/cell. The relative energy among the computed polymorphs comes out at 0 meV per atom. The value obtained for the magnetic moment is 8.21 Bohr magnetons per cell. For the total energy, the calculation gives -34.14 eV for the cell shown. As for the crystal system: cubic. The formation energy comes out at 1.2952 eV/atom.

---

[3]
DFT (PBE) results for a geometry-optimized Cr2CdMo structure.

Unit cell a=2.935 b=2.935 c=25.639 alpha=90.00 beta=90.00 gamma=120.00
Fractional positions:
Cr1 0.000 0.000 0.240
Cr2 0.000 0.000 0.760
Cr3 0.333 0.667 0.427
Cr4 0.333 0.667 0.906
Cr5 0.667 0.333 0.094
Cr6 0.667 0.333 0.573
Cd1 0.000 0.000 0.000
Cd2 0.333 0.667 0.667
Cd3 0.667 0.333 0.333
Mo1 0.000 0.000 0.500
Mo2 0.333 0.667 0.167
Mo3 0.667 0.333 0.833

Computed properties:
Its density of states at the Fermi level is 10.540 states/eV/cell. The value obtained for the magnetic moment is 8.51 Bohr magnetons per cell. For the total energy, the calculation gives -86.74 eV for the cell shown. As for the crystal system: trigonal. The formation energy comes out at 0.5203 eV/atom.

---

[4]
DFT (PBE) results for a geometry-optimized CrCd2Mo structure.

Unit cell a=3.129 b=4.854 c=9.319 alpha=90.00 beta=90.00 gamma=90.00
Fractional positions:
Cr1 0.000 0.000 0.000
Cr2 0.500 0.500 0.500
Cd1 0.000 0.000 0.462
Cd2 0.000 0.500 0.236
Cd3 0.500 0.000 0.736
Cd4 0.500 0.500 0.962
Mo1 0.000 0.500 0.681
Mo2 0.500 0.000 0.181

Computed properties:
Its density of states at the Fermi level is 2.777 states/eV/cell. The relative energy among the computed polymorphs comes out at 130 meV per atom. The value obtained for the magnetic moment is 0.00 Bohr magnetons per cell. For the total energy, the calculation gives -41.13 eV for the cell shown. As for the crystal system: orthorhombic. The formation energy comes out at 0.4295 eV/atom.

---

[5]
DFT (PBE) results for a geometry-optimized CrCd2Mo structure.

Unit cell a=4.939 b=4.939 c=2.997 alpha=90.00 beta=90.00 gamma=90.00
Fractional positions:
Cr1 0.000 0.000 0.000
Cd1 0.000 0.500 0.500
Cd2 0.500 0.000 0.500
Mo1 0.500 0.500 0.000

Computed properties:
Its density of states at the Fermi level is 1.823 states/eV/cell. The relative energy among the computed polymorphs comes out at 338 meV per atom. The value obtained for the magnetic moment is 3.94 Bohr magnetons per cell. For the total energy, the calculation gives -19.73 eV for the cell shown. As for the crystal system: tetragonal. The formation energy comes out at 0.6379 eV/atom.

---

[6]
DFT (PBE) results for a geometry-optimized Cr2CdMo structure.

Unit cell a=3.794 b=3.794 c=8.527 alpha=90.00 beta=90.00 gamma=90.00
Fractional positions:
Cr1 0.000 0.000 0.000
Cr2 0.000 0.500 0.250
Cr3 0.500 0.000 0.750
Cr4 0.500 0.500 0.500
Cd1 0.000 0.000 0.500
Cd2 0.500 0.500 0.000
Mo1 0.000 0.500 0.750
Mo2 0.500 0.000 0.250

Computed properties:
Its density of states at the Fermi level is 9.172 states/eV/cell. The value obtained for the magnetic moment is 2.07 Bohr magnetons per cell. For the total energy, the calculation gives -57.12 eV for the cell shown. As for the crystal system: tetragonal. The formation energy comes out at 0.6084 eV/atom.

---

[7]
DFT (PBE) results for a geometry-optimized CrCd2Mo structure.

Unit cell a=2.870 b=2.870 c=8.723 alpha=90.00 beta=90.00 gamma=90.00
Fractional positions:
Cr1 0.000 0.000 0.000
Cd1 0.000 0.000 0.464
Cd2 0.500 0.500 0.752
Mo1 0.500 0.500 0.206

Computed properties:
Its density of states at the Fermi level is 3.127 states/eV/cell. The relative energy among the computed polymorphs comes out at 89 meV per atom. The value obtained for the magnetic moment is 3.09 Bohr magnetons per cell. For the total energy, the calculation gives -20.73 eV for the cell shown. As for the crystal system: tetragonal. The formation energy comes out at 0.3885 eV/atom.

---

[8]
DFT (PBE) results for a geometry-optimized Cr2CdMo structure.

Unit cell a=2.803 b=2.803 c=26.676 alpha=90.00 beta=90.00 gamma=120.00
Fractional positions:
Cr1 0.000 0.000 0.000
Cr2 0.000 0.000 0.273
Cr3 0.333 0.667 0.667
Cr4 0.333 0.667 0.939
Cr5 0.667 0.333 0.333
Cr6 0.667 0.333 0.606
Cd1 0.000 0.000 0.513
Cd2 0.333 0.667 0.180
Cd3 0.667 0.333 0.846
Mo1 0.000 0.000 0.750
Mo2 0.333 0.667 0.416
Mo3 0.667 0.333 0.083

Computed properties:
Its density of states at the Fermi level is 6.636 states/eV/cell. The value obtained for the magnetic moment is 0.00 Bohr magnetons per cell. For the total energy, the calculation gives -87.75 eV for the cell shown. As for the crystal system: trigonal. The formation energy comes out at 0.4358 eV/atom.